The following is a PBE calculation of LiIn3Ag after structural relaxation, from Alexandria.

Results
- SG = P2_1/c (14)
- energy of formation (eV/atom) = -0.1332
- DOS(E_F) (states/eV per atom) = 0.40

Cell: 5.922 7.964 9.814 Å, 107.68 90.00 90.00°
Positions (direct):
1 In 0.002 0.002 0.311
2 In 0.498 0.002 0.811
3 In 0.263 0.388 0.347
4 In 0.013 0.796 0.951
5 In 0.987 0.204 0.049
6 In 0.763 0.612 0.153
7 In 0.487 0.796 0.451
8 In 0.737 0.612 0.653
9 In 0.513 0.204 0.549
10 In 0.502 0.998 0.189
11 In 0.237 0.388 0.847
12 In 0.998 0.998 0.689
13 Ag 0.006 0.298 0.574
14 Ag 0.506 0.702 0.926
15 Ag 0.494 0.298 0.074
16 Ag 0.994 0.702 0.426
17 Li 0.257 0.640 0.161
18 Li 0.743 0.360 0.839
19 Li 0.757 0.360 0.339
20 Li 0.243 0.640 0.661

---

The following is a PBE calculation of Sr2TcI after structural relaxation, from Alexandria.

Results
- SG = I-42d (122)
- DOS(E_F) (states/eV per atom) = 0.74
- formation energy without anion corrections (eV/atom) = 0.40

Cell: 8.487 8.487 7.250 Å, 54.18 54.18 90.00°
Each line ends with the local moment (μB).
Positions (direct):
1 Tc 0.500 0.500 0.000  2.11
2 Tc 0.250 0.750 0.500  2.11
3 Sr 0.596 0.125 0.250  -0.03
4 Sr 0.154 0.625 0.250  -0.03
5 Sr 0.875 0.846 0.750  -0.03
6 Sr 0.375 0.404 0.750  -0.03
7 I 0.000 0.000 0.000  0.01
8 I 0.750 0.250 0.500  0.01

---

The following is a PBE calculation of BaH2F after structural relaxation, from Alexandria.

Results
- SG = I4_1/amd (141)
- DOS(E_F) (states/eV per atom) = 0.10
- total DFT energy (no corrections) (eV/atom) = -3.64

Cell: 3.720 3.720 9.721 Å, 78.97 78.97 90.00°
Positions (direct):
1 Ba 0.750 0.250 0.500
2 Ba 0.000 0.000 0.000
3 H 0.375 0.125 0.250
4 H 0.875 0.625 0.750
5 H 0.375 0.625 0.750
6 H 0.375 0.625 0.250
7 F 0.250 0.750 0.500
8 F 0.500 0.500 0.000

---

The following is a PBE calculation of Bi3BAu after structural relaxation, from Alexandria.

Results
- SG = Pm-3m (221)
- energy of formation (eV/atom) = 1.3898
- DOS(E_F) (states/eV per atom) = 0.68

Cell: 5.563 5.563 5.563 Å, 90.00 90.00 90.00°
Positions (direct):
1 Au 0.000 0.000 0.000
2 Bi 0.000 0.500 0.000
3 Bi 0.500 0.000 0.000
4 Bi 0.000 0.000 0.500
5 B 0.500 0.500 0.500

---

The following is a PBE calculation of K2CeAu2Se4 after structural relaxation, from Alexandria.

Results
- SG = C2/m (12)
- DOS(E_F) (states/eV per atom) = 0.38
- formation energy without anion corrections (eV/atom) = -1.02

Cell: 4.256 8.046 7.994 Å, 109.05 105.44 90.00°
Each line ends with the local moment (μB).
Positions (direct):
1 Au 0.325 0.006 0.650  -0.01
2 Au 0.675 0.994 0.350  -0.01
3 Se 0.803 0.796 0.607  -0.01
4 Se 0.489 0.244 0.979  -0.01
5 Se 0.511 0.756 0.021  -0.01
6 Se 0.197 0.204 0.393  -0.01
7 K 0.134 0.580 0.268  0.00
8 K 0.866 0.420 0.732  0.00
9 Ce 0.000 0.000 0.000  0.25

---

The following is a PBE calculation of SiAsP2 after structural relaxation, from Alexandria.

Results
- SG = Cmmm (65)
- DOS(E_F) (states/eV per atom) = 0.28
- formation energy without anion corrections (eV/atom) = 0.59

Cell: 2.759 2.759 8.742 Å, 90.00 90.00 109.63°
Positions (direct):
1 Si 0.500 0.500 0.250
2 P 0.000 0.000 0.032
3 P 0.000 0.000 0.468
4 As 0.500 0.500 0.750

---

The following is a PBE calculation of NpTlZn4 after structural relaxation, from Alexandria.

Results
- SG = F-43m (216)
- energy of formation (eV/atom) = 0.1770
- DOS(E_F) (states/eV per atom) = 1.46

Cell: 5.517 5.517 5.517 Å, 60.00 60.00 60.00°
Each line ends with the local moment (μB).
Positions (direct):
1 Zn 0.122 0.626 0.626  0.01
2 Zn 0.626 0.122 0.626  0.01
3 Zn 0.626 0.626 0.122  0.01
4 Zn 0.626 0.626 0.626  0.01
5 Tl 0.250 0.250 0.250  -0.01
6 Np 0.000 0.000 0.000  4.14

---

| no. | theoretical density (Mg/m³) |
| --- | --- |
| 1 | 6.9 |
| 2 | 4.5 |
| 3 | 4.1 |
| 4 | 8.1 |
| 5 | 6.2 |
| 6 | 4.4 |
| 7 | 9.8 |